Entry from Alexandria via LeMat-Bulk: crystalline Cs2NbGeRu at its relaxed geometry (GGA-PBE).

POSCAR file:
```
Cs2NbGeRu
1.0
6.181 0.000 0.000
0.000 6.181 0.000
0.000 0.000 4.784
Cs Nb Ge Ru
2 1 1 1
Direct
0.000 0.500 0.000 Cs
0.500 0.000 0.000 Cs
0.000 0.000 0.500 Nb
0.500 0.500 0.500 Ge
0.500 0.500 0.000 Ru
```

Results
- Magnetization: 1.081 μB per atom
- Energy of formation from the pure elements: 142.5 kJ per mole of atoms



Entry from Alexandria via LeMat-Bulk: crystalline Zn2SiIr at its relaxed geometry (GGA-PBE).

POSCAR file:
```
Zn2SiIr
1.0
0.000 3.040 3.040
3.040 0.000 3.040
3.040 3.040 0.000
Zn Si Ir
2 1 1
Direct
0.000 0.000 0.000 Zn
0.250 0.250 0.250 Zn
0.500 0.500 0.500 Si
0.750 0.750 0.750 Ir
```

Results
- Magnetization: 0.000 μB per atom
- DFT total energy: -4.213 eV/atom



Entry from Alexandria via LeMat-Bulk: crystalline ZrAl2Pd8 at its relaxed geometry (GGA-PBE).

POSCAR file:
```
ZrAl2Pd8
1.0
-2.019 3.492 6.215
2.019 -3.492 6.215
2.019 3.492 -6.215
Zr Al Pd
1 2 8
Direct
0.000 0.000 0.000 Zr
0.313 0.313 0.000 Al
0.687 0.687 0.000 Al
0.116 0.835 0.281 Pd
0.150 0.650 0.500 Pd
0.301 0.500 0.801 Pd
0.446 0.165 0.281 Pd
0.554 0.835 0.719 Pd
0.699 0.500 0.199 Pd
0.850 0.350 0.500 Pd
0.884 0.165 0.719 Pd
```

Results
- Energy relative to the lowest polymorph listed for this composition: 0.0000 eV per atom
- Magnetization: 0.000 μB per atom
- Energy of formation from the pure elements: -67.6 kJ per mole of atoms



Entry from Alexandria via LeMat-Bulk: crystalline MgCrFe2 at its relaxed geometry (GGA-PBE).

POSCAR file:
```
MgCrFe2
1.0
0.000 2.998 2.998
2.998 0.000 2.998
2.998 2.998 0.000
Mg Cr Fe
1 1 2
Direct
0.000 0.000 0.000 Mg
0.750 0.750 0.750 Cr
0.250 0.250 0.250 Fe
0.500 0.500 0.500 Fe
```

Results
- Magnetization: 0.340 μB per atom
- Energy of formation from the pure elements: 33.9 kJ per mole of atoms



Entry from Alexandria via LeMat-Bulk: crystalline Ac3MgCd at its relaxed geometry (GGA-PBE).

POSCAR file:
```
Ac3MgCd
1.0
2.904 -10.883 0.000
2.904 10.883 0.000
0.000 0.000 5.799
Ac Mg Cd
6 2 2
Direct
0.063 0.937 0.750 Ac
0.250 0.750 0.750 Ac
0.435 0.565 0.750 Ac
0.565 0.435 0.250 Ac
0.750 0.250 0.250 Ac
0.937 0.063 0.250 Ac
0.155 0.845 0.250 Mg
0.845 0.155 0.750 Mg
0.344 0.656 0.250 Cd
0.656 0.344 0.750 Cd
```

Results
- Energy relative to the lowest polymorph listed for this composition: 0.0000 eV per atom
- Magnetization: 0.000 μB per atom
- Energy of formation from the pure elements: -13.4 kJ per mole of atoms



Entry from Alexandria via LeMat-Bulk: crystalline TcAuF2 at its relaxed geometry (GGA-PBE).

POSCAR file:
```
TcAuF2
1.0
-2.009 2.009 7.556
2.009 -2.009 7.556
2.009 2.009 -7.556
Tc Au F
2 2 4
Direct
0.000 0.000 0.000 Tc
0.750 0.250 0.500 Tc
0.250 0.750 0.500 Au
0.500 0.500 0.000 Au
0.025 0.625 0.900 F
0.375 0.275 0.400 F
0.725 0.125 0.100 F
0.875 0.975 0.600 F
```

Results
- Energy relative to the lowest polymorph listed for this composition: 0.6094 eV per atom
- Magnetization: 0.762 μB per atom



Entry from Alexandria via LeMat-Bulk: crystalline FeReSbPd2 at its relaxed geometry (GGA-PBE).

POSCAR file:
```
FeReSbPd2
1.0
4.542 0.000 0.000
0.000 4.542 0.000
0.000 0.000 4.674
Fe Re Sb Pd
1 1 1 2
Direct
0.000 0.000 0.000 Fe
0.500 0.500 0.500 Re
0.000 0.000 0.500 Sb
0.000 0.500 0.000 Pd
0.500 0.000 0.000 Pd
```

Results
- Magnetization: 0.550 μB per atom
- DFT total energy: -5.659 eV/atom



Entry from Alexandria via LeMat-Bulk: crystalline BeCoAu2 at its relaxed geometry (GGA-PBE).

POSCAR file:
```
BeCoAu2
1.0
4.327 0.000 0.000
0.000 4.327 0.000
0.000 0.000 2.986
Be Co Au
1 1 2
Direct
0.000 0.000 0.000 Be
0.500 0.500 0.000 Co
0.000 0.500 0.500 Au
0.500 0.000 0.500 Au
```

Results
- Magnetization: 0.343 μB per atom
- Energy of formation from the pure elements: 12.8 kJ per mole of atoms



Entry from Alexandria via LeMat-Bulk: crystalline CoMoIr at its relaxed geometry (GGA-PBE).

POSCAR file:
```
CoMoIr
1.0
4.202 0.000 0.000
-2.101 3.639 0.000
0.000 0.000 2.700
Co Mo Ir
1 1 1
Direct
0.000 0.000 0.000 Co
0.667 0.333 0.000 Mo
0.333 0.667 0.500 Ir
```

Results
- Energy relative to the lowest polymorph listed for this composition: 0.0819 eV per atom
- Magnetization: 0.203 μB per atom
- Energy of formation from the pure elements: -2.9 kJ per mole of atoms



Entry from Alexandria via LeMat-Bulk: crystalline Li5MgCd3 at its relaxed geometry (GGA-PBE).

POSCAR file:
```
Li5MgCd3
1.0
8.268 0.000 0.000
-4.134 7.160 0.000
0.000 0.000 5.832
Li Mg Cd
10 2 6
Direct
0.000 0.332 0.250 Li
0.000 0.668 0.750 Li
0.332 0.000 0.250 Li
0.332 0.332 0.750 Li
0.333 0.667 0.000 Li
0.333 0.667 0.500 Li
0.667 0.333 0.000 Li
0.667 0.333 0.500 Li
0.668 0.000 0.750 Li
0.668 0.668 0.250 Li
0.000 0.000 0.000 Mg
0.000 0.000 0.500 Mg
0.000 0.341 0.750 Cd
0.000 0.659 0.250 Cd
0.341 0.000 0.750 Cd
0.341 0.341 0.250 Cd
0.659 0.000 0.250 Cd
0.659 0.659 0.750 Cd
```

Results
- Magnetization: 0.000 μB per atom
- Energy of formation from the pure elements: -17.4 kJ per mole of atoms



Entry from Alexandria via LeMat-Bulk: crystalline CoCu2Rh2 at its relaxed geometry (GGA-PBE).

POSCAR file:
```
CoCu2Rh2
1.0
6.876 0.000 0.000
0.000 6.876 0.000
0.000 0.000 2.939
Co Cu Rh
2 4 4
Direct
0.000 0.000 0.000 Co
0.500 0.500 0.000 Co
0.161 0.339 0.500 Cu
0.339 0.839 0.500 Cu
0.661 0.161 0.500 Cu
0.839 0.661 0.500 Cu
0.138 0.638 0.000 Rh
0.362 0.138 0.000 Rh
0.638 0.862 0.000 Rh
0.862 0.362 0.000 Rh
```

Results
- Energy relative to the lowest polymorph listed for this composition: 0.0418 eV per atom
- Magnetization: 0.688 μB per atom
- Energy of formation from the pure elements: 39.6 kJ per mole of atoms



Entry from Alexandria via LeMat-Bulk: crystalline Nd11Ga9Rh4 at its relaxed geometry (GGA-PBE).

POSCAR file:
```
Nd11Ga9Rh4
1.0
7.096 -10.633 0.000
7.096 10.633 0.000
0.000 0.000 3.802
Nd Ga Rh
11 9 4
Direct
0.000 0.000 0.000 Nd
0.068 0.412 0.000 Nd
0.169 0.831 0.000 Nd
0.306 0.306 0.000 Nd
0.374 0.626 0.000 Nd
0.412 0.068 0.000 Nd
0.588 0.932 0.000 Nd
0.626 0.374 0.000 Nd
0.694 0.694 0.000 Nd
0.831 0.169 0.000 Nd
0.932 0.588 0.000 Nd
0.078 0.218 0.500 Ga
0.168 0.631 0.500 Ga
0.218 0.078 0.500 Ga
0.369 0.832 0.500 Ga
0.500 0.500 0.500 Ga
0.631 0.168 0.500 Ga
0.782 0.922 0.500 Ga
0.832 0.369 0.500 Ga
0.922 0.782 0.500 Ga
0.242 0.446 0.500 Rh
0.446 0.242 0.500 Rh
0.554 0.758 0.500 Rh
0.758 0.554 0.500 Rh
```

Results
- Magnetization: 0.000 μB per atom
- Energy of formation from the pure elements: -61.7 kJ per mole of atoms



Entry from Alexandria via LeMat-Bulk: crystalline KLaZr2 at its relaxed geometry (GGA-PBE).

POSCAR file:
```
KLaZr2
1.0
1.708 0.986 12.472
-1.708 0.986 12.472
0.000 -1.973 12.472
K La Zr
1 1 2
Direct
0.000 0.000 0.000 K
0.770 0.770 0.770 La
0.241 0.241 0.241 Zr
0.511 0.511 0.511 Zr
```

Results
- Energy relative to the lowest polymorph listed for this composition: 0.0501 eV per atom
- Magnetization: 0.025 μB per atom
- Energy of formation from the pure elements: 36.0 kJ per mole of atoms



Entry from Alexandria via LeMat-Bulk: crystalline BeTcPHCl at its relaxed geometry (GGA-PBE).

POSCAR file:
```
BeTcPHCl
1.0
3.234 0.000 0.000
1.565 3.999 0.000
1.610 0.984 5.936
Be Tc P H Cl
1 1 1 1 1
Direct
0.000 0.000 0.000 Be
0.661 0.948 0.725 Tc
0.355 0.542 0.729 P
0.570 0.846 0.008 H
0.778 0.166 0.285 Cl
```

Results
- Energy relative to the lowest polymorph listed for this composition: 0.0826 eV per atom
- Magnetization: 0.000 μB per atom



Entry from Alexandria via LeMat-Bulk: crystalline Ac3Al at its relaxed geometry (GGA-PBE).

POSCAR file:
```
Ac3Al
1.0
-2.064 6.298 2.952
2.064 -6.298 2.952
2.064 6.298 -2.952
Ac Al
3 1
Direct
0.000 0.000 0.000 Ac
0.293 0.501 0.791 Ac
0.710 0.501 0.209 Ac
0.499 0.999 0.500 Al
```

Results
- Energy relative to the lowest polymorph listed for this composition: 0.0000 eV per atom
- Magnetization: 0.000 μB per atom
- Energy of formation from the pure elements: -7.0 kJ per mole of atoms



Entry from Alexandria via LeMat-Bulk: crystalline CsReSbH2 at its relaxed geometry (GGA-PBE).

POSCAR file:
```
CsReSbH2
1.0
4.343 0.000 0.000
0.000 4.343 0.000
0.000 0.000 5.880
Cs Re Sb H
1 1 1 2
Direct
0.000 0.000 0.000 Cs
0.000 0.000 0.500 Re
0.500 0.500 0.000 Sb
0.000 0.500 0.500 H
0.500 0.000 0.500 H
```

Results
- Magnetization: 0.443 μB per atom
- DFT total energy: -3.014 eV/atom



Entry from Alexandria via LeMat-Bulk: crystalline Nd2PaSi3Rh12 at its relaxed geometry (GGA-PBE).

POSCAR file:
```
Nd2PaSi3Rh12
1.0
4.528 2.614 4.302
-4.528 2.614 4.302
0.000 -5.228 4.302
Nd Pa Si Rh
2 1 3 12
Direct
0.133 0.133 0.133 Nd
0.867 0.867 0.867 Nd
0.500 0.500 0.500 Pa
0.000 0.500 0.500 Si
0.500 0.000 0.500 Si
0.500 0.500 0.000 Si
0.129 0.129 0.581 Rh
0.129 0.581 0.129 Rh
0.180 0.682 0.682 Rh
0.318 0.318 0.820 Rh
0.318 0.820 0.318 Rh
0.419 0.871 0.871 Rh
0.581 0.129 0.129 Rh
0.682 0.180 0.682 Rh
0.682 0.682 0.180 Rh
0.820 0.318 0.318 Rh
0.871 0.419 0.871 Rh
0.871 0.871 0.419 Rh
```

Results
- Magnetization: 0.000 μB per atom
- DFT total energy: -7.282 eV/atom



Entry from Alexandria via LeMat-Bulk: crystalline CrPS2I at its relaxed geometry (GGA-PBE).

POSCAR file:
```
CrPS2I
1.0
4.360 0.000 0.000
0.000 4.360 0.000
0.000 0.000 5.155
Cr P S I
1 1 2 1
Direct
0.000 0.000 0.000 Cr
0.000 0.000 0.500 P
0.000 0.500 0.000 S
0.500 0.000 0.000 S
0.500 0.500 0.500 I
```

Results
- Energy relative to the lowest polymorph listed for this composition: 0.0000 eV per atom
- Magnetization: 0.023 μB per atom



Entry from Alexandria via LeMat-Bulk: crystalline Pm9PrTm2 at its relaxed geometry (GGA-PBE).

POSCAR file:
```
Pm9PrTm2
1.0
5.129 0.000 0.000
0.000 5.129 0.000
0.000 0.000 15.390
Pm Pr Tm
9 1 2
Direct
0.000 0.000 0.000 Pm
0.000 0.000 0.336 Pm
0.000 0.000 0.664 Pm
0.000 0.500 0.170 Pm
0.000 0.500 0.500 Pm
0.000 0.500 0.830 Pm
0.500 0.000 0.170 Pm
0.500 0.000 0.500 Pm
0.500 0.000 0.830 Pm
0.500 0.500 0.000 Pr
0.500 0.500 0.335 Tm
0.500 0.500 0.665 Tm
```

Results
- Magnetization: 0.000 μB per atom
- Energy of formation from the pure elements: 1.8 kJ per mole of atoms



Entry from Alexandria via LeMat-Bulk: crystalline Cd13Hg2 at its relaxed geometry (GGA-PBE).

POSCAR file:
```
Cd13Hg2
1.0
5.758 0.000 0.000
0.291 7.662 0.000
0.657 3.297 7.844
Cd Hg
13 2
Direct
0.000 0.000 0.000 Cd
0.137 0.261 0.202 Cd
0.198 0.406 0.801 Cd
0.278 0.536 0.396 Cd
0.328 0.665 0.001 Cd
0.392 0.805 0.599 Cd
0.471 0.936 0.197 Cd
0.529 0.064 0.803 Cd
0.608 0.195 0.401 Cd
0.672 0.335 0.999 Cd
0.722 0.464 0.604 Cd
0.802 0.594 0.199 Cd
0.863 0.739 0.798 Cd
0.070 0.145 0.600 Hg
0.930 0.855 0.400 Hg
```

Results
- Energy relative to the lowest polymorph listed for this composition: 0.0000 eV per atom
- Magnetization: 0.000 μB per atom
- Energy of formation from the pure elements: 2.2 kJ per mole of atoms